Cs3Mo5P6O25: optimized geometry, PBE+U.

a b c (Å): 12.3756 12.3756 9.7498
angles (deg): 90.00 90.00 120.00
Space group P31c (No. 159)
Symmetry-distinct sites (fractional):
Cs: 0.0852 0.6870 0.0000 [6 per cell]
Mo: 0.0000 0.0000 0.0458 [2 per cell]
Mo: 0.1894 0.5133 0.4095 [6 per cell]
Mo: 0.3333 0.6667 0.6701 [2 per cell]
P: 0.0658 0.4132 0.7262 [6 per cell]
P: 0.0856 0.2320 0.2942 [6 per cell]
O: 0.0399 0.4764 0.2754 [6 per cell]
O: 0.0425 0.2836 0.7951 [6 per cell]
O: 0.0635 0.3983 0.5705 [6 per cell]
O: 0.0797 0.9090 0.1616 [6 per cell]
O: 0.0808 0.9160 0.4242 [6 per cell]
O: 0.1738 0.8051 0.2968 [6 per cell]
O: 0.1920 0.5115 0.7867 [6 per cell]
O: 0.1981 0.6585 0.5212 [6 per cell]
O: 0.3333 0.6667 0.2962 [2 per cell]

E_tot = -7.07 eV/atom
calculated volume = 1293.19 Å³ per cell